A relaxed structure of ZrGaSe3. Source: Alexandria via LeMat-Bulk, functional PBE.

Values from the calculation:
For the size of the total moment, the calculation gives 0.000 μB/atom. Its crystal system is monoclinic. The energy above the most stable polymorph in this dataset is 0.0 kJ/mol of formula units. The symmetry is P2_1/m (11).

The structure in POSCAR format:
```
ZrGaSe3
1.0
-1.857 -3.064 1.280
4.937 -1.118 4.483
-5.934 6.315 6.509
Zr Ga Se
2 2 6
direct
0.750 0.029 0.143 Zr
0.250 0.971 0.857 Zr
0.750 0.503 0.749 Ga
0.250 0.497 0.251 Ga
0.750 0.734 0.955 Se
0.250 0.266 0.045 Se
0.750 0.331 0.340 Se
0.250 0.669 0.660 Se
0.750 0.139 0.723 Se
0.250 0.861 0.277 Se
```